A plane-wave DFT calculation with GGA-PBE was carried out for a relaxed structure of NaPmCuHg.

Cell: 5.104 5.104 5.104 Å, 60.00 60.00 60.00°
Atoms (fractional coordinates):
Pm (0.750, 0.750, 0.750)
Hg (0.000, 0.000, 0.000)
Na (0.250, 0.250, 0.250)
Cu (0.500, 0.500, 0.500)

Output
SG: F-43m (216)
Formation enthalpy at 0 K: -0.113 eV/atom